Compound: LiEuSbPt
Source: the Alexandria database
Functional: GGA-PBE
Structure: relaxed

a = 6.8925 Å, b = 6.8925 Å, c = 6.8925 Å
α = 90.00°, β = 90.00°, γ = 90.00°
Space group F-43m (No. 216)
Unique sites:
Li  0.0000  0.0000  0.0000 (multiplicity 4)
Eu  0.2500  0.2500  0.7500 (multiplicity 4)
Sb  0.2500  0.2500  0.2500 (multiplicity 4)
Pt  0.0000  0.0000  0.5000 (multiplicity 4)

Summary:
formation energy without anion corrections = -0.7539 eV/atom
density of states at the Fermi level = 2.8322 states/eV per atom
crystal system = cubic


Compound: SrLiEuPt
Source: the Alexandria database
Functional: GGA-PBE
Structure: relaxed

a = 7.4495 Å, b = 7.4495 Å, c = 7.4495 Å
α = 90.00°, β = 90.00°, γ = 90.00°
Space group F-43m (No. 216)
Unique sites:
Sr  0.0000  0.0000  0.0000 (multiplicity 4)
Li  0.2500  0.2500  0.7500 (multiplicity 4)
Eu  0.0000  0.0000  0.5000 (multiplicity 4)
Pt  0.2500  0.2500  0.2500 (multiplicity 4)

Summary:
density of states at the Fermi level = 0.5008 states/eV per atom
crystal system = cubic
calculated formation energy = -444 meV per atom


Question: Look up the density of states at the Fermi level of the first one.
Answer: 2.8322 states/eV per atom